1.
An optimized crystal structure of SiCl3, computed with PBE-GGA.

Values from the calculation:
polymorph energy (0 for the lowest one) = 0.000 eV per atom
DOS(E_F) = 0.416 states/eV/atom

Lattice parameters (Å, degrees): 8.260 12.064 6.140 90.00 90.00 90.00
Atoms (fractional coordinates):
Si1 0.168 0.250 0.063
Si2 0.332 0.750 0.563
Si3 0.668 0.250 0.437
Si4 0.832 0.750 0.937
Cl1 0.112 0.750 0.773
Cl2 0.179 0.112 0.865
Cl3 0.179 0.388 0.865
Cl4 0.321 0.612 0.365
Cl5 0.321 0.888 0.365
Cl6 0.388 0.250 0.273
Cl7 0.612 0.750 0.727
Cl8 0.679 0.112 0.635
Cl9 0.679 0.388 0.635
Cl10 0.821 0.612 0.135
Cl11 0.821 0.888 0.135
Cl12 0.888 0.250 0.227

---

2.
An optimized crystal structure of Si2Cl3, computed with PBE-GGA.

Values from the calculation:
polymorph energy (0 for the lowest one) = 0.311 eV per atom
DOS(E_F) = 0.550 states/eV/atom

Lattice parameters (Å, degrees): 3.462 3.462 34.201 90.00 90.00 120.00
Atoms (fractional coordinates):
Si1 0.000 0.000 0.105
Si2 0.000 0.000 0.895
Si3 0.333 0.667 0.561
Si4 0.333 0.667 0.772
Si5 0.667 0.333 0.228
Si6 0.667 0.333 0.439
Cl1 0.000 0.000 0.278
Cl2 0.000 0.000 0.500
Cl3 0.000 0.000 0.722
Cl4 0.333 0.667 0.167
Cl5 0.333 0.667 0.389
Cl6 0.333 0.667 0.945
Cl7 0.667 0.333 0.055
Cl8 0.667 0.333 0.611
Cl9 0.667 0.333 0.833

---

3.
An optimized crystal structure of Si2Cl, computed with PBE-GGA.

Values from the calculation:
polymorph energy (0 for the lowest one) = 0.255 eV per atom

Lattice parameters (Å, degrees): 3.802 5.524 9.115 89.50 87.99 78.55
Atoms (fractional coordinates):
Si1 0.000 0.000 0.000
Si2 0.077 0.621 0.133
Si3 0.433 0.223 0.070
Si4 0.597 0.470 0.256
Cl1 0.115 0.913 0.779
Cl2 0.652 0.423 0.479

---

4.
An optimized crystal structure of Si2Cl, computed with PBE-GGA.

Values from the calculation:
polymorph energy (0 for the lowest one) = 0.384 eV per atom
DOS(E_F) = 0.351 states/eV/atom

Lattice parameters (Å, degrees): 6.714 3.882 5.943 90.00 112.36 90.00
Atoms (fractional coordinates):
Si1 0.146 0.000 0.438
Si2 0.354 0.500 0.562
Si3 0.646 0.500 0.438
Si4 0.854 0.000 0.562
Cl1 0.000 0.000 0.000
Cl2 0.500 0.500 0.000

---

5.
An optimized crystal structure of SiCl2, computed with PBE-GGA.

Values from the calculation:
DOS(E_F) = 0.000 states/eV/atom

Lattice parameters (Å, degrees): 3.408 25.286 4.045 90.00 90.00 90.00
Atoms (fractional coordinates):
Si1 0.000 0.111 0.250
Si2 0.000 0.889 0.750
Si3 0.500 0.389 0.750
Si4 0.500 0.611 0.250
Cl1 0.000 0.320 0.750
Cl2 0.000 0.424 0.250
Cl3 0.000 0.576 0.750
Cl4 0.000 0.680 0.250
Cl5 0.500 0.076 0.750
Cl6 0.500 0.180 0.250
Cl7 0.500 0.820 0.750
Cl8 0.500 0.924 0.250

---

6.
An optimized crystal structure of Si2Cl, computed with PBE-GGA.

Values from the calculation:
polymorph energy (0 for the lowest one) = 0.643 eV per atom
DOS(E_F) = 0.325 states/eV/atom

Lattice parameters (Å, degrees): 15.700 2.882 6.367 90.00 91.23 90.00
Atoms (fractional coordinates):
Si1 0.000 0.000 0.000
Si2 0.008 0.500 0.330
Si3 0.380 0.000 0.823
Si4 0.388 0.500 0.494
Si5 0.500 0.500 0.000
Si6 0.508 0.000 0.330
Si7 0.880 0.500 0.823
Si8 0.888 0.000 0.494
Cl1 0.106 0.500 0.878
Cl2 0.282 0.000 0.361
Cl3 0.606 0.000 0.878
Cl4 0.782 0.500 0.361

---

7.
An optimized crystal structure of SiCl3, computed with PBE-GGA.

Values from the calculation:
polymorph energy (0 for the lowest one) = 0.992 eV per atom
DOS(E_F) = 0.530 states/eV/atom

Lattice parameters (Å, degrees): 5.439 5.439 5.439 90.00 90.00 90.00
Atoms (fractional coordinates):
Si1 0.000 0.000 0.000
Si2 0.500 0.500 0.500
Cl1 0.000 0.250 0.500
Cl2 0.000 0.750 0.500
Cl3 0.250 0.500 0.000
Cl4 0.500 0.000 0.250
Cl5 0.500 0.000 0.750
Cl6 0.750 0.500 0.000

---

8.
An optimized crystal structure of Si2Cl, computed with PBE-GGA.

Values from the calculation:
polymorph energy (0 for the lowest one) = 0.008 eV per atom

Lattice parameters (Å, degrees): 6.738 3.890 11.737 90.00 101.97 90.00
Atoms (fractional coordinates):
Si1 0.000 0.000 0.000
Si2 0.067 0.500 0.726
Si3 0.142 0.500 0.933
Si4 0.376 0.500 0.659
Si5 0.500 0.500 0.000
Si6 0.567 0.000 0.726
Si7 0.642 0.000 0.933
Si8 0.876 0.000 0.659
Cl1 0.065 0.000 0.181
Cl2 0.311 0.500 0.478
Cl3 0.565 0.500 0.181
Cl4 0.811 0.000 0.478

---

Computed values of calculated volume (unit: Å³ per atom) for the preceding records, in sequence: 38.2; 23.7; 31.3; 23.9; 29.0; 24.0; 20.1; 25.1.
Computed values of formation energy without anion corrections (unit: eV/atom) for the preceding records, in sequence: -0.84; -0.02; -0.20; -0.07; -0.40; 0.19; 0.15; -0.45.
Computed values of M_tot (unit: μB/cell) for the preceding records, in sequence: 0.4; 0.0; 0.0; 0.0; 0.0; 0.0; 0.9; 0.0.